This record from Alexandria describes crystalline Nd6In2Pb at its relaxed geometry. The functional is PBE.

Summary:
V: 290.12 Å³/f.u.
Electronic total energy: -0.334 Ry/atom
Mass density: 7.5 Mg/m³
Magnetization: 0.00 μB per cell
Formation energy: -33 kJ per mole of atoms
Fermi-level density of states: 13.12 states/eV per cell
Energy relative to the lowest polymorph listed for this composition: 0.0 kJ per mole of atoms

Lattice parameters (Å, degrees): 8.845 8.845 4.282 90.00 90.00 120.00
Atoms (fractional coordinates):
Nd (0.000, 0.279, 0.000)
Nd (0.000, 0.606, 0.500)
Nd (0.279, 0.000, 0.000)
Nd (0.394, 0.394, 0.500)
Nd (0.606, 0.000, 0.500)
Nd (0.721, 0.721, 0.000)
In (0.333, 0.667, 0.000)
In (0.667, 0.333, 0.000)
Pb (0.000, 0.000, 0.500)